## RbNa3Sn (PBE)

Data for a relaxed RbNa3Sn crystal.

Cell lengths 7.6495, 9.7289, 6.2815 Å; angles 90.00, 114.90, 90.00 degrees
Fractional coordinates of all 10 atoms:
Rb 0.0000 0.0000 0.0000
Rb 0.5000 0.5000 0.0000
Na 0.3539 0.2743 0.4219
Na 0.3539 0.7257 0.4219
Na 0.4665 0.0000 0.8538
Na 0.8539 0.2257 0.4219
Na 0.8539 0.7743 0.4219
Na 0.9665 0.5000 0.8538
Sn 0.0548 0.5000 0.3911
Sn 0.5548 0.0000 0.3911

Results
The value obtained for the excess energy over the best structure of this formula in the dataset is 0 meV per atom. The calculation puts the formation energy from the elements at -92 meV/atom.

=====

## BaTc3Sn (PBE)

Data for a relaxed BaTc3Sn crystal.

Cell lengths 5.1089, 5.1089, 5.1089 Å; angles 90.00, 90.00, 90.00 degrees
Fractional coordinates of all 5 atoms:
Ba 0.0000 0.0000 0.0000
Tc 0.0000 0.0000 0.5000
Tc 0.0000 0.5000 0.0000
Tc 0.5000 0.0000 0.0000
Sn 0.5000 0.5000 0.5000

Results
The value obtained for the excess energy over the best structure of this formula in the dataset is 1162 meV per atom. The calculation puts the formation energy from the elements at 2689 meV/atom.

=====

## Pr6Nd2SmEr (PBE)

Data for a relaxed Pr6Nd2SmEr crystal.

Cell lengths 9.0448, 9.0448, 9.9250 Å; angles 94.35, 94.35, 117.92 degrees
Fractional coordinates of all 20 atoms:
Pr 0.0115 0.5706 0.1900
Pr 0.1190 0.7522 0.5540
Pr 0.2478 0.8810 0.9460
Pr 0.2947 0.5045 0.3815
Pr 0.4294 0.9885 0.3100
Pr 0.4955 0.7053 0.1185
Pr 0.5045 0.2947 0.8815
Pr 0.5706 0.0115 0.6900
Pr 0.7053 0.4955 0.6185
Pr 0.7522 0.1190 0.0540
Pr 0.8810 0.2478 0.4460
Pr 0.9885 0.4294 0.8100
Nd 0.1969 0.2953 0.0434
Nd 0.2953 0.1969 0.5434
Nd 0.7047 0.8031 0.4566
Nd 0.8031 0.7047 0.9566
Sm 0.0201 0.9799 0.2500
Sm 0.9799 0.0201 0.7500
Er 0.4093 0.5907 0.7500
Er 0.5907 0.4093 0.2500

Results
The calculation puts the formation energy from the elements at 111 meV/atom.

=====

## ZnH2SeO4 (PBE)

Data for a relaxed ZnH2SeO4 crystal.

Cell lengths 4.8781, 13.8698, 7.3064 Å; angles 90.00, 127.96, 90.00 degrees
Fractional coordinates of all 32 atoms:
Zn 0.1901 0.2312 0.3646
Zn 0.1901 0.2688 0.8646
Zn 0.8099 0.7312 0.1354
Zn 0.8099 0.7688 0.6354
H 0.2819 0.6182 0.9629
H 0.2819 0.8818 0.4629
H 0.4395 0.6318 0.2270
H 0.4395 0.8682 0.7270
H 0.5605 0.1318 0.2730
H 0.5605 0.3682 0.7730
H 0.7181 0.1182 0.5371
H 0.7181 0.3818 0.0371
Se 0.3790 0.6079 0.6267
Se 0.3790 0.8921 0.1267
Se 0.6210 0.1079 0.8733
Se 0.6210 0.3921 0.3733
O 0.0530 0.6368 0.6405
O 0.0530 0.8632 0.1405
O 0.2733 0.1832 0.6616
O 0.2733 0.3168 0.1616
O 0.2894 0.6719 0.3888
O 0.2894 0.8281 0.8888
O 0.4981 0.1174 0.3765
O 0.4981 0.3826 0.8765
O 0.5019 0.6174 0.1235
O 0.5019 0.8826 0.6235
O 0.7106 0.1719 0.1112
O 0.7106 0.3281 0.6112
O 0.7267 0.6832 0.8384
O 0.7267 0.8168 0.3384
O 0.9470 0.1368 0.8595
O 0.9470 0.3632 0.3595

Results
For the total energy, the calculation gives -4.97 eV/atom.

=====

## CoCuRh14 (PBE)

Data for a relaxed CoCuRh14 crystal.

Cell lengths 8.8314, 5.4076, 5.4076 Å; angles 60.16, 90.00, 90.00 degrees
Fractional coordinates of all 16 atoms:
Co 0.0000 0.0000 0.0000
Cu 0.0000 0.5011 0.5011
Rh 0.0000 0.0007 0.5022
Rh 0.0000 0.5022 0.0007
Rh 0.2449 0.8357 0.8357
Rh 0.2457 0.3328 0.8354
Rh 0.2457 0.8354 0.3328
Rh 0.2478 0.3346 0.3346
Rh 0.5000 0.1669 0.1669
Rh 0.5000 0.1670 0.6679
Rh 0.5000 0.6668 0.6668
Rh 0.5000 0.6679 0.1670
Rh 0.7522 0.3346 0.3346
Rh 0.7543 0.3328 0.8354
Rh 0.7543 0.8354 0.3328
Rh 0.7551 0.8357 0.8357

Results
The calculation puts the formation energy from the elements at 44 meV/atom.

=====

## Dy6SbAs5 (PBE)

Data for a relaxed Dy6SbAs5 crystal.

Cell lengths 7.2146, 7.2146, 7.2098 Å; angles 99.62, 99.62, 119.95 degrees
Fractional coordinates of all 12 atoms:
Dy 0.0706 0.4147 0.7444
Dy 0.2408 0.2408 0.2546
Dy 0.4147 0.0706 0.7444
Dy 0.5853 0.9294 0.2556
Dy 0.7592 0.7592 0.7454
Dy 0.9294 0.5853 0.2556
Sb 0.5000 0.5000 0.0000
As 0.0000 0.0000 0.5000
As 0.1669 0.8331 0.0000
As 0.3361 0.6639 0.5000
As 0.6639 0.3361 0.5000
As 0.8331 0.1669 0.0000

Results
For the total energy, the calculation gives -6.04 eV/atom.

=====

Number 1: D(E_F) 3.56 states/eV per cell. Number 2: D(E_F) 5.79 states/eV per cell. Number 3: D(E_F) 29.77 states/eV per cell. Number 4: D(E_F) 0.00 states/eV per cell. Number 5: D(E_F) 21.14 states/eV per cell. Number 6: D(E_F) 1.55 states/eV per cell.